Na4VP2O9 | GGA+U | optimized geometry

Properties
Raw total energy: -103.48 eV per formula unit
Crystal system: orthorhombic
M_tot: 8.00 μB/cell

abc: 7.0256 14.8117 16.2364
angles: 90.00 90.00 90.00
Last column: nearest neighbours and their distance in Å.
Fractional positions:
Na 0.0002 0.1379 0.6204  6 O 2.36-2.49
Na 0.2667 0.4964 0.9951  4 O 2.32-2.44
Na 0.2524 0.2467 0.4753  4 O 2.28-2.37
Na 0.7667 0.0036 0.9951  4 O 2.32-2.44
Na 0.9998 0.8621 0.3796  6 O 2.36-2.49
Na 0.5002 0.3621 0.6204  6 O 2.36-2.49
Na 0.7524 0.2533 0.4753  4 O 2.28-2.37
Na 0.2333 0.9964 0.0049  4 O 2.32-2.44
Na 0.2667 0.9964 0.5049  4 O 2.32-2.44
Na 0.3229 0.5244 0.2214  4 O 2.37-2.58
Na 0.6771 0.4756 0.7786  4 O 2.37-2.58
Na 0.7476 0.2533 0.9753  4 O 2.28-2.37
Na 0.7333 0.5036 0.0049  4 O 2.32-2.44
Na 0.1771 0.5244 0.7214  4 O 2.37-2.58
Na 0.7524 0.7533 0.0247  4 O 2.28-2.37
Na 0.9998 0.3621 0.1204  6 O 2.36-2.49
Na 0.2524 0.7467 0.0247  4 O 2.28-2.37
Na 0.1771 0.0244 0.7786  4 O 2.37-2.58
Na 0.3229 0.0244 0.2786  4 O 2.37-2.58
Na 0.2333 0.4964 0.4951  4 O 2.32-2.44
Na 0.8229 0.4756 0.2786  4 O 2.37-2.58
Na 0.4998 0.1379 0.1204  6 O 2.36-2.49
Na 0.2476 0.7467 0.5247  4 O 2.28-2.37
Na 0.4998 0.6379 0.3796  6 O 2.36-2.49
Na 0.8229 0.9756 0.2214  4 O 2.37-2.58
Na 0.7476 0.7533 0.5247  4 O 2.28-2.37
Na 0.2476 0.2467 0.9753  4 O 2.28-2.37
Na 0.7667 0.5036 0.5049  4 O 2.32-2.44
Na 0.6771 0.9756 0.7214  4 O 2.37-2.58
Na 0.7333 0.0036 0.4951  4 O 2.32-2.44
Na 0.0002 0.6379 0.8796  6 O 2.36-2.49
Na 0.5002 0.8621 0.8796  6 O 2.36-2.49
V 0.2656 0.7559 0.7338  1 O 1.75
V 0.7344 0.2441 0.2662  1 O 1.75
V 0.7656 0.7441 0.7338  1 O 1.75
V 0.2656 0.2559 0.7662  1 O 1.75
V 0.2344 0.2559 0.2662  1 O 1.75
V 0.7656 0.2441 0.7662  1 O 1.75
V 0.2344 0.7559 0.2338  1 O 1.75
V 0.7344 0.7441 0.2338  1 O 1.75
P 0.0000 0.6400 0.3726  4 O 1.54-1.58
P 0.5000 0.8600 0.3726  4 O 1.54-1.58
P 0.4977 0.6082 0.6192  4 O 1.54-1.57
P 0.5000 0.6400 0.8726  4 O 1.54-1.58
P 0.0000 0.1400 0.1274  4 O 1.54-1.58
P 0.9977 0.8918 0.6192  4 O 1.54-1.57
P 0.5023 0.3918 0.3808  4 O 1.54-1.57
P 0.0023 0.1082 0.3808  4 O 1.54-1.57
P 0.0000 0.8600 0.8726  4 O 1.54-1.58
P 0.5000 0.1400 0.6274  4 O 1.54-1.58
P 0.5000 0.3600 0.1274  4 O 1.54-1.58
P 0.0000 0.3600 0.6274  4 O 1.54-1.58
P 0.4977 0.1082 0.8808  4 O 1.54-1.57
P 0.5023 0.8918 0.1192  4 O 1.54-1.57
P 0.9977 0.3918 0.8808  4 O 1.54-1.57
P 0.0023 0.6082 0.1192  4 O 1.54-1.57
O 0.6792 0.6645 0.6419  1 P 1.57
O 0.8149 0.8374 0.6453  1 P 1.57
O 0.8208 0.1645 0.3581  1 P 1.57
O 0.6843 0.3456 0.1813  1 P 1.58
O 0.1843 0.6544 0.3187  1 P 1.58
O 0.6819 0.1507 0.6836  1 P 1.58
O 0.3149 0.6626 0.6453  1 P 1.57
O 0.0015 0.2069 0.7602  1 V 1.75
O 0.1851 0.6626 0.1453  1 P 1.57
O 0.9957 0.2107 0.0580  1 P 1.54
O 0.4985 0.2069 0.2602  1 V 1.75
O 0.5041 0.9848 0.1611  1 P 1.54
O 0.9985 0.7931 0.2398  1 V 1.75
O 0.0061 0.1010 0.4759  1 P 1.55
O 0.6851 0.3374 0.3547  1 P 1.57
O 0.3157 0.1544 0.6813  1 P 1.58
O 0.8157 0.8456 0.8187  1 P 1.58
O 0.5061 0.8990 0.0241  1 P 1.55
O 0.9985 0.2931 0.2602  1 V 1.75
O 0.5041 0.4848 0.3389  1 P 1.54
O 0.3208 0.8355 0.1419  1 P 1.57
O 0.4959 0.0152 0.8389  1 P 1.54
O 0.5015 0.7931 0.7398  1 V 1.75
O 0.8149 0.3374 0.8547  1 P 1.57
O 0.4959 0.5152 0.6611  1 P 1.54
O 0.5035 0.5422 0.9047  1 P 1.54
O 0.1819 0.3493 0.6836  1 P 1.58
O 0.4939 0.1010 0.9759  1 P 1.55
O 0.3181 0.3493 0.1836  1 P 1.58
O 0.1792 0.8355 0.6419  1 P 1.57
O 0.3157 0.6544 0.8187  1 P 1.58
O 0.1851 0.1626 0.3547  1 P 1.57
O 0.8181 0.6507 0.3164  1 P 1.58
O 0.1792 0.3355 0.8581  1 P 1.57
O 0.1819 0.8493 0.8164  1 P 1.58
O 0.3208 0.3355 0.3581  1 P 1.57
O 0.8208 0.6645 0.1419  1 P 1.57
O 0.8181 0.1507 0.1836  1 P 1.58
O 0.0043 0.2893 0.5580  1 P 1.54
O 0.4957 0.7893 0.4420  1 P 1.54
O 0.9939 0.3990 0.9759  1 P 1.55
O 0.3149 0.1626 0.8547  1 P 1.57
O 0.0061 0.6010 0.0241  1 P 1.55
O 0.9959 0.9848 0.6611  1 P 1.54
O 0.5015 0.2931 0.7602  1 V 1.75
O 0.5035 0.0422 0.5953  1 P 1.54
O 0.9957 0.7107 0.4420  1 P 1.54
O 0.6792 0.1645 0.8581  1 P 1.57
O 0.5061 0.3990 0.4759  1 P 1.55
O 0.6851 0.8374 0.1453  1 P 1.57
O 0.6843 0.8456 0.3187  1 P 1.58
O 0.8157 0.3456 0.6813  1 P 1.58
O 0.9965 0.5422 0.4047  1 P 1.54
O 0.0043 0.7893 0.9420  1 P 1.54
O 0.0035 0.9578 0.9047  1 P 1.54
O 0.0041 0.5152 0.1611  1 P 1.54
O 0.1843 0.1544 0.1813  1 P 1.58
O 0.4965 0.9578 0.4047  1 P 1.54
O 0.4985 0.7069 0.2398  1 V 1.75
O 0.0041 0.0152 0.3389  1 P 1.54
O 0.0015 0.7069 0.7398  1 V 1.75
O 0.3181 0.8493 0.3164  1 P 1.58
O 0.9965 0.0422 0.0953  1 P 1.54
O 0.4965 0.4578 0.0953  1 P 1.54
O 0.6819 0.6507 0.8164  1 P 1.58
O 0.5043 0.7107 0.9420  1 P 1.54
O 0.9939 0.8990 0.5241  1 P 1.55
O 0.5043 0.2107 0.5580  1 P 1.54
O 0.4939 0.6010 0.5241  1 P 1.55
O 0.4957 0.2893 0.0580  1 P 1.54
O 0.0035 0.4578 0.5953  1 P 1.54
O 0.9959 0.4848 0.8389  1 P 1.54